Record 1
{
  "formula": "TmZn6Au12",
  "functional": "GGA-PBE",
  "state": "relaxed",
  "formation_enthalpy_0k_kj_per_mol_fu": -336,
  "total_energy_ev_per_atom": -2.89,
  "dos_at_fermi_per_ev_cell": 9.0,
  "crystal_system": "trigonal",
  "magnetic_moment_mub_per_cell": 0.00,
  "lattice_angstrom": [[-1.435, 7.200, 1.575], [0.690, -3.516, 6.599], [6.789, -0.156, -3.205]],
  "species": ["Au", "Au", "Au", "Au", "Au", "Au", "Au", "Au", "Au", "Au", "Au", "Au", "Zn", "Zn", "Zn", "Zn", "Zn", "Zn", "Tm"],
  "fractional_positions": [[0.361, 0.361, 0.116], [0.119, 0.500, 0.881], [0.500, 0.119, 0.881], [0.639, 0.639, 0.884], [0.881, 0.119, 0.500], [0.500, 0.881, 0.119], [0.881, 0.500, 0.119], [0.116, 0.361, 0.361], [0.361, 0.116, 0.361], [0.119, 0.881, 0.500], [0.639, 0.884, 0.639], [0.884, 0.639, 0.639], [0.291, 0.693, 0.291], [0.693, 0.291, 0.291], [0.291, 0.291, 0.693], [0.709, 0.709, 0.307], [0.307, 0.709, 0.709], [0.709, 0.307, 0.709], [0.000, 0.000, 0.000]]
}



Record 2
{
  "formula": "SbWCl2",
  "functional": "GGA-PBE",
  "state": "relaxed",
  "e_above_lowest_polymorph_ev_per_fu": 3.03,
  "total_energy_ev_per_atom": -4.57,
  "e_form_raw_ev_per_atom": 0.627,
  "dos_at_fermi_per_ev_cell": 1.9,
  "crystal_system": "monoclinic",
  "magnetic_moment_mub_per_cell": 2.09,
  "lattice_angstrom": [[-4.344, -1.429, 1.701], [1.075, -1.400, -5.285], [0.995, -3.415, -0.045]],
  "species": ["Cl", "Cl", "W", "Sb"],
  "fractional_positions": [[0.500, 0.000, 0.500], [0.000, 0.000, 0.000], [0.500, 0.500, 0.000], [0.000, 0.500, 0.500]]
}



Record 3
{
  "formula": "SrPdPtO4",
  "functional": "GGA-PBE",
  "state": "relaxed",
  "total_energy_ev_per_atom": -5.80,
  "e_form_raw_ev_per_atom": -1.122,
  "crystal_system": "orthorhombic",
  "magnetic_moment_mub_per_cell": 0.00,
  "lattice_angstrom": [[-4.797, 3.358, -2.167], [3.904, -3.231, -4.654], [-4.021, -3.537, 3.422]],
  "species": ["Pd", "Pd", "Sr", "Sr", "O", "O", "O", "O", "O", "O", "O", "O", "Pt", "Pt"],
  "fractional_positions": [[0.500, 0.500, 0.500], [0.000, 0.500, 0.500], [0.839, 0.678, 0.089], [0.161, 0.322, 0.911], [0.730, 0.058, 0.779], [0.306, 0.612, 0.355], [0.270, 0.942, 0.221], [0.694, 0.388, 0.243], [0.306, 0.612, 0.757], [0.694, 0.388, 0.645], [0.672, 0.942, 0.221], [0.328, 0.058, 0.779], [0.500, 0.000, 0.500], [0.500, 0.000, 0.000]]
}



Record 4
{
  "formula": "In2PtPb",
  "functional": "GGA-PBE",
  "state": "relaxed",
  "formation_enthalpy_0k_kj_per_mol_fu": -44,
  "total_energy_ev_per_atom": -3.92,
  "dos_at_fermi_per_ev_cell": 1.6,
  "crystal_system": "trigonal",
  "magnetic_moment_mub_per_cell": 0.00,
  "lattice_angstrom": [[-5.137, 4.026, -5.310], [-6.084, 0.301, -5.805], [-7.578, 2.303, -2.842]],
  "species": ["In", "In", "Pt", "Pb"],
  "fractional_positions": [[0.016, 0.016, 0.016], [0.254, 0.254, 0.254], [0.747, 0.747, 0.747], [0.483, 0.483, 0.483]]
}



Record 5
{
  "formula": "CePHN3",
  "functional": "GGA-PBE",
  "state": "relaxed",
  "total_energy_ev_per_atom": -7.22,
  "crystal_system": "monoclinic",
  "magnetic_moment_mub_per_cell": 0.00,
  "lattice_angstrom": [[5.743, 0.203, -0.141], [2.870, 4.979, -0.141], [2.205, 1.327, 4.832]],
  "species": ["N", "N", "N", "N", "N", "N", "P", "P", "H", "H", "Ce", "Ce"],
  "fractional_positions": [[0.174, 0.687, 0.771], [0.313, 0.826, 0.229], [0.826, 0.313, 0.229], [0.687, 0.174, 0.771], [0.806, 0.806, 0.375], [0.194, 0.194, 0.625], [0.985, 0.985, 0.203], [0.015, 0.015, 0.797], [0.278, 0.722, 0.500], [0.722, 0.278, 0.500], [0.298, 0.298, 0.181], [0.702, 0.702, 0.819]]
}



Record 6
{
  "formula": "TaHgN2O",
  "functional": "GGA-PBE",
  "state": "relaxed",
  "total_energy_ev_per_atom": -6.96,
  "e_form_raw_ev_per_atom": -0.212,
  "dos_at_fermi_per_ev_cell": 3.0,
  "crystal_system": "tetragonal",
  "magnetic_moment_mub_per_cell": 0.40,
  "lattice_angstrom": [[-1.487, 2.949, 2.541], [-3.214, -2.465, 0.980], [2.074, -1.520, 2.978]],
  "species": ["O", "N", "N", "Ta", "Hg"],
  "fractional_positions": [[0.000, 0.000, 0.500], [0.000, 0.500, 0.000], [0.500, 0.000, 0.000], [0.000, 0.000, 0.000], [0.500, 0.500, 0.500]]
}